1.
Material: Ta4Mn
Method: DFT, SCAN
State: single point on PBEsol structure

Computed properties:
Space-group type: I4/m (87)
Energy of formation: -0.29 eV/f.u.
E_tot: -56.97 eV per atom

a = 3.121 Å, b = 5.326 Å, c = 5.326 Å
α = 85.07°, β = 72.96°, γ = 72.96°
Fractional positions:
1 Ta 0.591 0.622 0.196
2 Ta 0.409 0.378 0.804
3 Ta 0.787 0.804 0.622
4 Ta 0.213 0.196 0.378
5 Mn 0.000 0.000 0.000

=====

2.
Material: TaMn2
Method: DFT, SCAN
State: single point on PBEsol structure

Computed properties:
Space-group type: P6_3/mmc (194)
Energy of formation: -0.51 eV/f.u.
E_tot: -34.54 eV per atom

a = 4.745 Å, b = 4.745 Å, c = 7.791 Å
α = 90.00°, β = 90.00°, γ = 120.00°
Fractional positions:
1 Ta 0.333 0.667 0.063
2 Mn 0.656 0.828 0.750
3 Mn 0.172 0.828 0.750
4 Ta 0.667 0.333 0.563
5 Ta 0.667 0.333 0.937
6 Mn 0.828 0.656 0.250
7 Ta 0.333 0.667 0.437
8 Mn 0.828 0.172 0.250
9 Mn 0.000 0.000 0.000
10 Mn 0.344 0.172 0.250
11 Mn 0.172 0.344 0.750
12 Mn 0.000 0.000 0.500

=====

3.
Material: Ta5Mn
Method: DFT, SCAN
State: single point on PBEsol structure

Computed properties:
Space-group type: Cmmm (65)
Energy of formation: -0.21 eV/f.u.
E_tot: -58.56 eV per atom

a = 3.197 Å, b = 4.609 Å, c = 6.870 Å
α = 90.00°, β = 103.45°, γ = 90.00°
Fractional positions:
1 Ta 0.333 0.500 0.667
2 Ta 0.156 0.000 0.312
3 Ta 0.000 0.500 0.000
4 Ta 0.667 0.500 0.333
5 Ta 0.844 0.000 0.688
6 Mn 0.500 0.000 0.000

=====

4.
Material: TaMn4
Method: DFT, SCAN
State: single point on PBEsol structure

Computed properties:
Space-group type: I4/m (87)
Energy of formation: 1.35 eV/f.u.
E_tot: -27.65 eV per atom

a = 3.592 Å, b = 4.447 Å, c = 4.447 Å
α = 80.61°, β = 66.18°, γ = 66.18°
Fractional positions:
1 Ta 0.000 0.000 0.000
2 Mn 0.585 0.602 0.229
3 Mn 0.415 0.398 0.771
4 Mn 0.813 0.771 0.602
5 Mn 0.187 0.229 0.398

=====

5.
Material: Ta5Mn24
Method: DFT, SCAN
State: single point on PBEsol structure

Computed properties:
Space-group type: I-43m (217)
Energy of formation: -0.11 eV/f.u.
E_tot: -26.59 eV per atom

a = 7.579 Å, b = 7.579 Å, c = 7.579 Å
α = 109.47°, β = 109.47°, γ = 109.47°
Fractional positions:
1 Ta 0.000 0.000 0.000
2 Mn 0.000 0.803 0.625
3 Mn 0.614 0.000 0.329
4 Mn 0.803 0.625 0.000
5 Mn 0.178 0.375 0.375
6 Mn 0.000 0.625 0.803
7 Mn 0.329 0.614 0.000
8 Mn 0.000 0.329 0.614
9 Mn 0.284 0.671 0.671
10 Mn 0.671 0.671 0.284
11 Mn 0.197 0.197 0.822
12 Mn 0.329 0.000 0.614
13 Mn 0.625 0.803 0.000
14 Mn 0.386 0.716 0.386
15 Ta 0.621 0.621 0.621
16 Ta 0.379 0.000 0.000
17 Mn 0.386 0.386 0.716
18 Mn 0.716 0.386 0.386
19 Mn 0.197 0.822 0.197
20 Mn 0.000 0.614 0.329
21 Mn 0.822 0.197 0.197
22 Mn 0.375 0.375 0.178
23 Mn 0.375 0.178 0.375
24 Mn 0.803 0.000 0.625
25 Mn 0.614 0.329 0.000
26 Mn 0.625 0.000 0.803
27 Ta 0.000 0.379 0.000
28 Mn 0.671 0.284 0.671
29 Ta 0.000 0.000 0.379

=====

6.
Material: Ta3Mn
Method: DFT, SCAN
State: single point on PBEsol structure

Computed properties:
Space-group type: Immm (71)
Energy of formation: -0.28 eV/f.u.
E_tot: -54.57 eV per atom

a = 3.146 Å, b = 4.475 Å, c = 5.255 Å
α = 115.20°, β = 107.42°, γ = 90.00°
Fractional positions:
1 Ta 0.263 0.763 0.527
2 Mn 0.000 0.000 0.000
3 Ta 0.500 0.500 0.000
4 Ta 0.737 0.237 0.473

=====

7.
Material: Ta4Mn
Method: DFT, SCAN
State: single point on PBEsol structure

Computed properties:
Space-group type: I4/mmm (139)
Energy of formation: 4.11 eV/f.u.
E_tot: -56.10 eV per atom

a = 3.792 Å, b = 3.792 Å, c = 7.154 Å
α = 105.37°, β = 105.37°, γ = 90.00°
Fractional positions:
1 Ta 0.250 0.750 0.500
2 Ta 0.750 0.250 0.500
3 Ta 0.406 0.406 0.812
4 Ta 0.594 0.594 0.188
5 Mn 0.000 0.000 0.000

=====

8.
Material: Ta5Mn
Method: DFT, SCAN
State: single point on PBEsol structure

Computed properties:
Space-group type: C2/m (12)
Energy of formation: -0.24 eV/f.u.
E_tot: -58.57 eV per atom

a = 3.175 Å, b = 5.331 Å, c = 6.432 Å
α = 107.77°, β = 90.00°, γ = 107.33°
Fractional positions:
1 Ta 0.500 0.000 0.000
2 Ta 0.842 0.685 0.659
3 Ta 0.158 0.315 0.341
4 Ta 0.837 0.675 0.180
5 Ta 0.163 0.325 0.820
6 Mn 0.500 0.000 0.500

=====

9.
Material: Ta5Mn3
Method: DFT, SCAN
State: single point on PBEsol structure

Computed properties:
Space-group type: Cmmm (65)
Energy of formation: -1.01 eV/f.u.
E_tot: -48.59 eV per atom

a = 4.359 Å, b = 5.370 Å, c = 5.370 Å
α = 109.39°, β = 90.00°, γ = 90.00°
Fractional positions:
1 Mn 0.500 0.750 0.250
2 Mn 0.000 0.500 0.500
3 Ta 0.000 0.000 0.000
4 Ta 0.000 0.000 0.500
5 Ta 0.500 0.260 0.260
6 Ta 0.500 0.740 0.740
7 Ta 0.000 0.500 0.000
8 Mn 0.500 0.250 0.750

=====

10.
Material: TaMnTe2
Method: DFT, SCAN
State: single point on PBEsol structure

Computed properties:
Space-group type: Cm (8)
Uncorrected formation energy: -82.0 meV/atom
E_tot: -39.92 eV per atom

a = 3.481 Å, b = 4.505 Å, c = 6.758 Å
α = 100.44°, β = 90.00°, γ = 112.72°
Fractional positions:
1 Ta 0.242 0.484 0.685
2 Te 0.764 0.528 0.363
3 Te 0.984 0.967 0.899
4 Mn 0.510 0.020 0.553

=====

11.
Material: TaTi2Mn
Method: DFT, SCAN
State: single point on PBEsol structure

Computed properties:
Space-group type: Fm-3m (225)
Energy of formation: 0.49 eV/f.u.
E_tot: -29.10 eV per atom

a = 4.369 Å, b = 4.369 Å, c = 4.369 Å
α = 60.00°, β = 60.00°, γ = 60.00°
Fractional positions:
1 Ti 0.250 0.250 0.250
2 Ta 0.500 0.500 0.500
3 Mn 0.000 0.000 0.000
4 Ti 0.750 0.750 0.750

=====

12.
Material: TaMn2Tl
Method: DFT, SCAN
State: single point on PBEsol structure

Computed properties:
Space-group type: Fm-3m (225)
Energy of formation: 0.67 eV/f.u.
E_tot: -43.69 eV per atom

a = 4.360 Å, b = 4.360 Å, c = 4.360 Å
α = 60.00°, β = 60.00°, γ = 60.00°
Fractional positions:
1 Tl 0.500 0.500 0.500
2 Ta 0.000 0.000 0.000
3 Mn 0.250 0.250 0.250
4 Mn 0.750 0.750 0.750